(1)
First-principles (PBE-GGA) data for a geometry-optimized BaPa2CrS8 structure, as listed in Alexandria via LeMat-Bulk.

Unit cell a=5.978 b=8.381 c=6.215 alpha=90.00 beta=93.04 gamma=90.00
Positions (direct):
Ba1 0.000 0.000 0.000
Pa1 0.500 0.256 0.500
Pa2 0.500 0.744 0.500
Cr1 0.000 0.500 0.000
S1 0.240 0.308 0.164
S2 0.240 0.692 0.164
S3 0.252 0.500 0.671
S4 0.268 0.000 0.603
S5 0.732 0.000 0.397
S6 0.748 0.500 0.329
S7 0.760 0.308 0.836
S8 0.760 0.692 0.836

Summary:
**Calculated volume**: 311 Å³/cell
**SG**: P2/m, No. 10
**Crystal system**: monoclinic
**Electronic total energy**: -6.5059 eV per atom
**DOS at the Fermi energy**: 4.50 states/eV/f.u.

***

(2)
First-principles (PBE-GGA) data for a geometry-optimized Ba2PaCrSe6 structure, as listed in Alexandria via LeMat-Bulk.

Unit cell a=7.328 b=7.436 c=12.713 alpha=90.00 beta=124.83 gamma=90.00
Positions (direct):
Ba1 0.234 0.052 0.248
Ba2 0.234 0.448 0.748
Ba3 0.766 0.552 0.252
Ba4 0.766 0.948 0.752
Pa1 0.500 0.000 0.000
Pa2 0.500 0.500 0.500
Cr1 0.000 0.000 0.500
Cr2 0.000 0.500 0.000
Se1 0.168 0.221 0.967
Se2 0.168 0.279 0.467
Se3 0.247 0.702 0.968
Se4 0.247 0.798 0.468
Se5 0.303 0.001 0.740
Se6 0.303 0.499 0.240
Se7 0.697 0.501 0.760
Se8 0.697 0.999 0.260
Se9 0.753 0.202 0.532
Se10 0.753 0.298 0.032
Se11 0.832 0.721 0.533
Se12 0.832 0.779 0.033

Summary:
**Calculated volume**: 569 Å³/cell
**SG**: P2_1/c, No. 14
**Crystal system**: monoclinic
**Electronic total energy**: -5.8262 eV per atom

***

(3)
First-principles (PBE-GGA) data for a geometry-optimized BaCrPb2 structure, as listed in Alexandria via LeMat-Bulk.

Unit cell a=4.958 b=4.956 c=5.519 alpha=90.00 beta=90.24 gamma=90.00
Positions (direct):
Ba1 0.000 0.000 0.000
Cr1 0.497 0.500 0.775
Pb1 0.501 0.000 0.487
Pb2 0.995 0.500 0.487

Summary:
**Calculated volume**: 136 Å³/cell
**SG**: Pm, No. 6
**Calculated formation energy**: 0.156 eV per atom
**Crystal system**: monoclinic
**DOS at the Fermi energy**: 2.58 states/eV/f.u.

***

(4)
First-principles (PBE-GGA) data for a geometry-optimized BaCrPb2 structure, as listed in Alexandria via LeMat-Bulk.

Unit cell a=6.039 b=6.039 c=6.039 alpha=129.68 beta=129.68 gamma=73.92
Positions (direct):
Ba1 0.000 0.000 0.000
Cr1 0.250 0.750 0.500
Pb1 0.500 0.500 0.000
Pb2 0.750 0.250 0.500

Summary:
**Calculated volume**: 127 Å³/cell
**SG**: I-4m2, No. 119
**Calculated formation energy**: 0.210 eV per atom
**Crystal system**: tetragonal
**DOS at the Fermi energy**: 2.17 states/eV/f.u.

***

(5)
First-principles (PBE-GGA) data for a geometry-optimized BaCrPb2 structure, as listed in Alexandria via LeMat-Bulk.

Unit cell a=10.249 b=10.249 c=10.249 alpha=147.86 beta=147.86 gamma=46.09
Positions (direct):
Ba1 0.000 0.000 0.000
Ba2 0.750 0.250 0.500
Cr1 0.250 0.750 0.500
Cr2 0.500 0.500 0.000
Pb1 0.268 0.625 0.143
Pb2 0.375 0.518 0.643
Pb3 0.482 0.125 0.857
Pb4 0.875 0.732 0.357

Summary:
**Calculated volume**: 304 Å³/cell
**SG**: I-42d, No. 122
**Calculated formation energy**: 0.233 eV per atom
**Crystal system**: tetragonal
**DOS at the Fermi energy**: 2.73 states/eV/f.u.

***

(6)
First-principles (PBE-GGA) data for a geometry-optimized BaCrPb2 structure, as listed in Alexandria via LeMat-Bulk.

Unit cell a=4.887 b=4.887 c=6.891 alpha=110.35 beta=110.35 gamma=59.36
Positions (direct):
Ba1 0.000 0.000 0.000
Cr1 0.500 0.500 0.500
Pb1 0.218 0.218 0.650
Pb2 0.782 0.782 0.350

Summary:
**Calculated volume**: 130 Å³/cell
**SG**: C2/m, No. 12
**Calculated formation energy**: 0.006 eV per atom
**Crystal system**: monoclinic
**DOS at the Fermi energy**: 2.81 states/eV/f.u.